(1)
# TbTm2PuSe4

An optimized crystal structure of TbTm2PuSe4 (PBE, the Alexandria database).

The space group is P2/m (No. 10) and the conventional cell measures 7.0433, 4.0431 and 7.0659 Å, with angles of 90.00, 109.08 and 90.00 degrees. Symmetry generates all atoms from Tb at (0.0000, 0.0000, 0.0000), Tm at (0.0000, 0.5000, 0.5000), Tm at (0.5000, 0.0000, 0.5000), Pu at (0.5000, 0.5000, 0.0000), Se at (0.2453, 0.0000, 0.7406) and Se at (0.2512, 0.5000, 0.2585).

The calculation puts the raw formation energy at -162.4 kJ/mol of atoms. The spin magnetization is 6.0 μB/f.u.

***

(2)
# VTcW3

An optimized crystal structure of VTcW3 (PBE, the Alexandria database).

The space group is Pm-3m (No. 221) and the conventional cell measures 4.4634, 4.4634 and 4.4634 Å, with angles of 90.00, 90.00 and 90.00 degrees. Symmetry generates all atoms from V at (0.0000, 0.0000, 0.0000), Tc at (0.5000, 0.5000, 0.5000) and W at (0.0000, 0.0000, 0.5000).

As for the formation energy: 1718.0 meV/atom. The spin magnetization is 0.0 μB/f.u.

***

(3)
# LaMgZn2

An optimized crystal structure of LaMgZn2 (PBE, the Alexandria database).

The space group is Pm (No. 6) and the conventional cell measures 3.8304, 4.5147 and 5.7965 Å, with angles of 90.00, 108.65 and 90.00 degrees. Symmetry generates all atoms from La at (0.0000, 0.0000, 0.0000), Mg at (0.7089, 0.5000, 0.4133), Zn at (0.2908, 0.0000, 0.5607) and Zn at (0.4049, 0.5000, 0.8061).

As for the formation energy: -204.5 meV/atom. The spin magnetization is 0.0 μB/f.u.

***

(4)
# Tl2Cu2Ag

An optimized crystal structure of Tl2Cu2Ag (PBE, the Alexandria database).

The space group is I4/mmm (No. 139) and the conventional cell measures 4.5226, 4.5226 and 10.8919 Å, with angles of 90.00, 90.00 and 90.00 degrees. Symmetry generates all atoms from Tl at (0.0000, 0.5000, 0.2500), Cu at (0.0000, 0.0000, 0.1060) and Ag at (0.0000, 0.0000, 0.5000).

As for the formation energy: 484.2 meV/atom. The spin magnetization is 0.0 μB/f.u.

***

(5)
# MgNiGePd

An optimized crystal structure of MgNiGePd (PBE, the Alexandria database).

The space group is F-43m (No. 216) and the conventional cell measures 6.1275, 6.1275 and 6.1275 Å, with angles of 90.00, 90.00 and 90.00 degrees. Symmetry generates all atoms from Mg at (0.0000, 0.0000, 0.0000), Ni at (0.2500, 0.2500, 0.7500), Ge at (0.0000, 0.0000, 0.5000) and Pd at (0.2500, 0.2500, 0.2500).

As for the formation energy: -394.7 meV/atom. The spin magnetization is 0.0 μB/f.u.

***

(6)
# LiEuYAl

An optimized crystal structure of LiEuYAl (PBE, the Alexandria database).

The space group is F-43m (No. 216) and the conventional cell measures 7.4964, 7.4964 and 7.4964 Å, with angles of 90.00, 90.00 and 90.00 degrees. Symmetry generates all atoms from Li at (0.0000, 0.0000, 0.0000), Eu at (0.2500, 0.2500, 0.2500), Y at (0.2500, 0.2500, 0.7500) and Al at (0.0000, 0.0000, 0.5000).

As for the formation energy: -134.8 meV/atom. The spin magnetization is 7.2 μB/f.u.

***

(7)
# Ce5ErPb3

An optimized crystal structure of Ce5ErPb3 (PBE, the Alexandria database).

The space group is P6_3/mcm (No. 193) and the conventional cell measures 9.6062, 9.6062 and 6.6960 Å, with angles of 90.00, 90.00 and 120.00 degrees. Symmetry generates all atoms from Ce at (0.0000, 0.3387, 0.2500), Ce at (0.3333, 0.6667, 0.0000), Er at (0.0000, 0.0000, 0.0000) and Pb at (0.0000, 0.3269, 0.7500).

As for the formation energy: -302.9 meV/atom. The spin magnetization is 8.4 μB/f.u.

***

(8)
# Al2Rh

An optimized crystal structure of Al2Rh (PBE, the Alexandria database).

The space group is Cm (No. 8) and the conventional cell measures 5.6017, 7.6558 and 8.6020 Å, with angles of 90.00, 108.44 and 90.00 degrees. Symmetry generates all atoms from Al at (0.0000, 0.0000, 0.0000), Al at (0.0122, 0.2450, 0.5197), Al at (0.1659, 0.0000, 0.3332), Al at (0.3347, 0.2511, 0.1728), Al at (0.3371, 0.5000, 0.6880), Al at (0.4868, 0.0000, 0.9634), Rh at (0.1676, 0.5000, 0.3480), Rh at (0.1764, 0.2445, 0.8563) and Rh at (0.3316, 0.0000, 0.6326).

As for the formation energy: -651.4 meV/atom. The spin magnetization is 0.0 μB/f.u.